Entry 1:
ZrRe2Te | PBE | relaxed

The total magnetization comes out at 0.000 μB/f.u. For the total energy, the calculation gives -8.829 eV per atom. Its formation energy from raw total energies is 0.3175 eV per atom.

The space group is Immm (No. 71) and the conventional cell measures 3.295, 4.528 and 9.677 Å, with angles of 90.00, 90.00 and 90.00 degrees. Symmetry generates all atoms from Zr at (0.000, 0.000, 0.000), Re at (0.000, 0.500, 0.243) and Te at (0.000, 0.000, 0.500).

---

Entry 2:
HfSi2Ni4 | PBE | relaxed

The total magnetization comes out at 0.000 μB/f.u. For the total energy, the calculation gives -6.893 eV per atom. Its formation energy from raw total energies is -0.6181 eV per atom.

The space group is Pnma (No. 62) and the conventional cell measures 15.445, 3.820 and 6.063 Å, with angles of 90.00, 90.00 and 90.00 degrees. Symmetry generates all atoms from Hf at (0.141, 0.250, 0.014), Si at (0.043, 0.750, 0.257), Si at (0.222, 0.250, 0.518), Ni at (0.029, 0.750, 0.859), Ni at (0.073, 0.250, 0.497), Ni at (0.188, 0.750, 0.721) and Ni at (0.191, 0.750, 0.318).

---

Entry 3:
NaNbGa2 | PBE | relaxed

Its formation energy is 0.89 eV per formula unit. The total magnetization comes out at 1.428 μB/f.u. For the total energy, the calculation gives -4.138 eV per atom. The energy above the most stable polymorph in this dataset is 0 meV/atom.

The space group is Fm-3m (No. 225) and the conventional cell measures 6.637, 6.637 and 6.637 Å, with angles of 90.00, 90.00 and 90.00 degrees. Symmetry generates all atoms from Na at (0.000, 0.000, 0.000), Nb at (0.000, 0.000, 0.500) and Ga at (0.250, 0.250, 0.250).

---

Entry 4:
SrAsPb | PBE | relaxed

Its formation energy is -1.56 eV per formula unit. The total magnetization comes out at 0.000 μB/f.u. For the total energy, the calculation gives -3.866 eV per atom.

The space group is P-6m2 (No. 187) and the conventional cell measures 5.0185, 5.0185 and 4.3202 Å, with angles of 90.00, 90.00 and 120.00 degrees. Symmetry generates all atoms from Sr at (0.0000, 0.0000, 0.0000), As at (0.6667, 0.3333, 0.5000) and Pb at (0.3333, 0.6667, 0.5000).

---

Entry 5:
DyHo3Cu3 | PBE | relaxed

Its formation energy is -1.02 eV per formula unit. The total magnetization comes out at 0.000 μB/f.u. For the total energy, the calculation gives -4.521 eV per atom.

The space group is C2/m (No. 12) and the conventional cell measures 9.866, 9.944 and 6.833 Å, with angles of 90.00, 104.93 and 90.00 degrees. Symmetry generates all atoms from Dy at (0.242, 0.000, 0.475), Ho at (0.000, 0.239, 0.500), Ho at (0.000, 0.320, 0.000), Ho at (0.162, 0.000, 0.931), Cu at (0.049, 0.500, 0.703) and Cu at (0.237, 0.279, 0.804).

---

Entry 6:
KLiRhF5 | PBE | relaxed

The total magnetization comes out at 0.000 μB/f.u. For the total energy, the calculation gives -4.733 eV per atom. Its formation energy from raw total energies is -2.2680 eV per atom.

The space group is C2/c (No. 15) and the conventional cell measures 6.975, 9.780 and 7.513 Å, with angles of 90.00, 112.51 and 90.00 degrees. Symmetry generates all atoms from K at (0.000, 0.157, 0.250), Li at (0.000, 0.193, 0.750), Rh at (0.000, 0.500, 0.000), F at (0.000, 0.427, 0.250), F at (0.094, 0.310, 0.599) and F at (0.205, 0.067, 0.920).

---

Entry 7:
La4BCl5 | PBE | relaxed

The total magnetization comes out at 0.000 μB/f.u. For the total energy, the calculation gives -5.256 eV per atom. Its formation energy from raw total energies is -1.6944 eV per atom.

The space group is C2/m (No. 12) and the conventional cell measures 18.345, 4.120 and 8.325 Å, with angles of 90.00, 104.80 and 90.00 degrees. Symmetry generates all atoms from La at (0.002, 0.000, 0.277), La at (0.151, 0.500, 0.595), B at (0.000, 0.500, 0.500), Cl at (0.000, 0.500, 0.000), Cl at (0.163, 0.000, 0.844) and Cl at (0.171, 0.000, 0.355).

---

Entry 8:
BeTcPdPt2 | PBE | relaxed

Its formation energy is 5.33 eV per formula unit. The total magnetization comes out at 0.000 μB/f.u. For the total energy, the calculation gives -5.208 eV per atom. The energy above the most stable polymorph in this dataset is 726 meV/atom.

The space group is P4/mmm (No. 123) and the conventional cell measures 4.733, 4.733 and 4.207 Å, with angles of 90.00, 90.00 and 90.00 degrees. Symmetry generates all atoms from Be at (0.000, 0.000, 0.000), Tc at (0.000, 0.000, 0.500), Pd at (0.500, 0.500, 0.000) and Pt at (0.000, 0.500, 0.500).

---

Entry 9:
LaGa4Ir2Rh | PBE | relaxed

Its formation energy is -5.04 eV per formula unit. The total magnetization comes out at 0.000 μB/f.u. For the total energy, the calculation gives -5.894 eV per atom.

The space group is R-3m (No. 166, hexagonal axes) and the conventional cell measures 4.2809, 4.2809 and 26.7090 Å, with angles of 90.00, 90.00 and 120.00 degrees. Symmetry generates all atoms from La at (0.0000, 0.0000, 0.0000), Ga at (0.0000, 0.0000, 0.1321), Ga at (0.0000, 0.0000, 0.4035), Ir at (0.0000, 0.0000, 0.2326) and Rh at (0.0000, 0.0000, 0.5000).

---

Entry 10:
Ce2NdAlSi2 | PBE | relaxed

The total magnetization comes out at 0.004 μB/f.u. For the total energy, the calculation gives -5.148 eV per atom. Its formation energy from raw total energies is 0.0562 eV per atom.

The space group is I4/mmm (No. 139) and the conventional cell measures 4.362, 4.362 and 17.118 Å, with angles of 90.00, 90.00 and 90.00 degrees. Symmetry generates all atoms from Ce at (0.000, 0.500, 0.250), Nd at (0.000, 0.000, 0.000), Al at (0.000, 0.000, 0.500) and Si at (0.000, 0.000, 0.366).

---

Entry 11:
Be2PtF | PBE | relaxed

The total magnetization comes out at 0.000 μB/f.u. For the total energy, the calculation gives -5.115 eV per atom. The energy above the most stable polymorph in this dataset is 183 meV/atom. Its formation energy from raw total energies is -1.2736 eV per atom.

The space group is Pm (No. 6) and the conventional cell measures 5.855, 2.720 and 5.981 Å, with angles of 90.00, 107.73 and 90.00 degrees. Symmetry generates all atoms from Be at (0.000, 0.000, 0.000), Be at (0.126, 0.500, 0.368), Be at (0.278, 0.500, 0.867), Be at (0.611, 0.500, 0.572), Pt at (0.390, 0.000, 0.246), Pt at (0.956, 0.000, 0.612), F at (0.505, 0.500, 0.784) and F at (0.890, 0.500, 0.101).

---

Entry 12:
LaTc2Ir2 | PBE | relaxed

Its formation energy is -0.56 eV per formula unit. The total magnetization comes out at 0.000 μB/f.u. For the total energy, the calculation gives -8.788 eV per atom. The energy above the most stable polymorph in this dataset is 0 meV/atom.

The space group is I4/mmm (No. 139) and the conventional cell measures 4.174, 4.174 and 11.082 Å, with angles of 90.00, 90.00 and 90.00 degrees. Symmetry generates all atoms from La at (0.000, 0.000, 0.000), Tc at (0.000, 0.500, 0.250) and Ir at (0.000, 0.000, 0.387).

---

Question: Look up the total magnetization of the fifth one.
Answer: 0.000 μB/f.u.

---

Question: Which value of total magnetization does entry 8 give?
Answer: 0.000 μB/f.u.